1.
Computed, not measured: an optimized crystal structure of Be3VCd at the PBE level of DFT.

a b c (Å): 4.2943 4.2943 4.2943
angles (deg): 90.00 90.00 90.00
Space group Pm-3m (No. 221)
Symmetry-distinct sites (fractional):
Be 0.0000 0.0000 0.5000 [3 per cell]
V 0.0000 0.0000 0.0000 [1 per cell]
Cd 0.5000 0.5000 0.5000 [1 per cell]

Results
For the offset from the most stable computed form, the calculation gives 33.6 meV per atom. The value obtained for the total energy is -2.9225 eV/atom. The calculation puts the total moment at 0.00 μB per cell. The calculation puts the formation energy from the elements at 1.32 eV/atom.

=====

2.
Computed, not measured: an optimized crystal structure of PmInIrRh at the PBE level of DFT.

a b c (Å): 6.7661 6.7661 6.7661
angles (deg): 90.00 90.00 90.00
Space group F-43m (No. 216)
Symmetry-distinct sites (fractional):
Pm 0.0000 0.0000 0.0000 [4 per cell]
In 0.0000 0.0000 0.5000 [4 per cell]
Ir 0.2500 0.2500 0.2500 [4 per cell]
Rh 0.2500 0.2500 0.7500 [4 per cell]

Results
The value obtained for the total energy is -6.4249 eV/atom. The calculation puts the total moment at 0.00 μB per cell. The calculation puts the formation energy from the elements at -0.50 eV/atom.

=====

3.
Computed, not measured: an optimized crystal structure of Tb2CeNd2Tm2 at the PBE level of DFT.

a b c (Å): 17.6166 3.4865 8.3509
angles (deg): 90.00 116.79 90.00
Space group C2/m (No. 12)
Symmetry-distinct sites (fractional):
Tb 0.0708 0.0000 0.3983 [4 per cell]
Ce 0.0000 0.5000 0.0000 [2 per cell]
Nd 0.1434 0.0000 0.8844 [4 per cell]
Tm 0.2117 0.5000 0.2963 [4 per cell]

Results
The value obtained for the total energy is -4.6616 eV/atom. The calculation puts the total moment at 0.19 μB per cell. The calculation puts the formation energy from the elements at 0.15 eV/atom.

=====

4.
Computed, not measured: an optimized crystal structure of ScBeCu2 at the PBE level of DFT.

a b c (Å): 5.2850 8.4852 2.7627
angles (deg): 90.00 113.65 90.00
Space group C2/m (No. 12)
Symmetry-distinct sites (fractional):
Sc 0.0000 0.0000 0.0000 [2 per cell]
Be 0.0000 0.5000 0.0000 [2 per cell]
Cu 0.2500 0.2500 0.5000 [4 per cell]

Results
The value obtained for the total energy is -4.3431 eV/atom. The calculation puts the total moment at 0.00 μB per cell. The calculation puts the formation energy from the elements at 0.22 eV/atom.

=====

5.
Computed, not measured: an optimized crystal structure of Pr8Sm4Er at the PBE level of DFT.

a b c (Å): 11.9062 11.9062 11.8413
angles (deg): 90.00 90.00 120.00
Space group R-3m (No. 166, hexagonal axes)
Symmetry-distinct sites (fractional):
Pr 0.0000 0.0000 0.2421 [6 per cell]
Pr 0.0001 0.5000 0.3310 [18 per cell]
Sm 0.0000 0.0000 0.0000 [3 per cell]
Sm 0.0000 0.5000 0.0000 [9 per cell]
Er 0.0000 0.0000 0.5000 [3 per cell]

Results
The value obtained for the total energy is -4.3444 eV/atom. The calculation puts the total moment at 1.80 μB per cell. The calculation puts the formation energy from the elements at 0.40 eV/atom.

=====

6.
Computed, not measured: an optimized crystal structure of Pm4YCd5 at the PBE level of DFT.

a b c (Å): 3.8128 3.8128 19.1209
angles (deg): 90.00 90.00 90.00
Space group P4/mmm (No. 123)
Symmetry-distinct sites (fractional):
Pm 0.0000 0.0000 0.1010 [2 per cell]
Pm 0.0000 0.0000 0.3027 [2 per cell]
Y 0.0000 0.0000 0.5000 [1 per cell]
Cd 0.5000 0.5000 0.0000 [1 per cell]
Cd 0.5000 0.5000 0.2016 [2 per cell]
Cd 0.5000 0.5000 0.4054 [2 per cell]

Results
The value obtained for the total energy is -3.3282 eV/atom. The calculation puts the total moment at 1.88 μB per cell. The calculation puts the formation energy from the elements at -0.32 eV/atom.

=====

7.
Computed, not measured: an optimized crystal structure of VCo3 at the PBE level of DFT.

a b c (Å): 3.5315 3.5315 7.1459
angles (deg): 90.00 90.00 90.00
Space group I4/mmm (No. 139)
Symmetry-distinct sites (fractional):
V 0.0000 0.0000 0.0000 [2 per cell]
Co 0.0000 0.0000 0.5000 [2 per cell]
Co 0.0000 0.5000 0.2500 [4 per cell]

Results
The value obtained for the total energy is -7.7297 eV/atom. The calculation puts the total moment at 4.74 μB per cell. The calculation puts the formation energy from the elements at -0.12 eV/atom.

=====

8.
Computed, not measured: an optimized crystal structure of Li2PbSe at the PBE level of DFT.

a b c (Å): 3.6400 3.6520 6.5664
angles (deg): 90.00 90.00 90.00
Space group Pmm2 (No. 25)
Symmetry-distinct sites (fractional):
Li 0.0000 0.0000 0.0000 [1 per cell]
Li 0.5000 0.5000 0.2874 [1 per cell]
Pb 0.0000 0.0000 0.5613 [1 per cell]
Se 0.5000 0.5000 0.9135 [1 per cell]

Results
The value obtained for the total energy is -3.1856 eV/atom. The calculation puts the total moment at 0.00 μB per cell. As for the formation energy (no corrections): -0.431 eV per atom.

=====

9.
Computed, not measured: an optimized crystal structure of AlHgW2 at the PBE level of DFT.

a b c (Å): 3.2199 4.7060 9.2190
angles (deg): 90.00 90.00 90.00
Space group Cmm2 (No. 35)
Symmetry-distinct sites (fractional):
Al 0.0000 0.0000 0.0000 [2 per cell]
Hg 0.0000 0.5000 0.2661 [2 per cell]
W 0.0000 0.0000 0.5413 [2 per cell]
W 0.0000 0.5000 0.7697 [2 per cell]

Results
For the offset from the most stable computed form, the calculation gives 3.0 meV per atom. The value obtained for the total energy is -7.1469 eV/atom. The calculation puts the total moment at 0.00 μB per cell. The calculation puts the formation energy from the elements at 0.34 eV/atom.

=====

10.
Computed, not measured: an optimized crystal structure of KRb2ZnSi at the PBE level of DFT.

a b c (Å): 7.4485 7.4485 5.9424
angles (deg): 90.00 90.00 90.00
Space group P4/mmm (No. 123)
Symmetry-distinct sites (fractional):
K 0.0000 0.0000 0.0000 [1 per cell]
Rb 0.0000 0.5000 0.0000 [2 per cell]
Zn 0.5000 0.5000 0.5000 [1 per cell]
Si 0.0000 0.0000 0.5000 [1 per cell]

Results
The value obtained for the total energy is -1.1805 eV/atom. The calculation puts the total moment at 1.00 μB per cell. As for the formation energy (no corrections): 0.765 eV per atom.

=====

11.
Computed, not measured: an optimized crystal structure of CsRb5Cl6 at the PBE level of DFT.

a b c (Å): 8.2803 14.3361 8.2801
angles (deg): 90.00 109.51 90.00
Space group C2/m (No. 12)
Symmetry-distinct sites (fractional):
Cs 0.0000 0.0000 0.0000 [2 per cell]
Rb 0.0000 0.1657 0.5000 [4 per cell]
Rb 0.0000 0.3332 0.0000 [4 per cell]
Rb 0.0000 0.5000 0.5000 [2 per cell]
Cl 0.2433 0.5000 0.2551 [4 per cell]
Cl 0.2447 0.3293 0.7457 [8 per cell]

Results
The value obtained for the total energy is -3.3418 eV/atom. The calculation puts the total moment at 0.61 μB per cell. As for the formation energy (no corrections): -1.944 eV per atom.

=====

12.
Computed, not measured: an optimized crystal structure of NiAuN3 at the PBE level of DFT.

a b c (Å): 3.7377 3.7377 3.7377
angles (deg): 90.00 90.00 90.00
Space group Pm-3m (No. 221)
Symmetry-distinct sites (fractional):
Ni 0.0000 0.0000 0.0000 [1 per cell]
Au 0.5000 0.5000 0.5000 [1 per cell]
N 0.0000 0.0000 0.5000 [3 per cell]

Results
The value obtained for the total energy is -4.8156 eV/atom. The calculation puts the total moment at 0.00 μB per cell. As for the formation energy (no corrections): 1.991 eV per atom.